A relaxed CaTb2PmHg4 crystal. Source: Alexandria via LeMat-Bulk, functional PBE-GGA.

Geometry as CIF:
```
data_CaTb2PmHg4
_chemical_formula_sum 'Ca3 Tb6 Pm3 Hg12'
_cell_length_a 5.3172
_cell_length_b 5.3172
_cell_length_c 26.1125
_cell_angle_alpha 90.00
_cell_angle_beta 90.00
_cell_angle_gamma 120.00
_space_group_name_H-M_alt 'R -3 m'
_space_group_IT_number 166
_space_group_name_Hall '-R 3 2"'
loop_
_atom_site_label
_atom_site_fract_x
_atom_site_fract_y
_atom_site_fract_z
_atom_site_occupancy
Ca1 0.0000 0.0000 0.0000 1
Tb1 0.0000 0.0000 0.2522 1
Pm1 0.0000 0.0000 0.5000 1
Hg1 0.0000 0.0000 0.1249 1
Hg2 0.0000 0.0000 0.3754 1
```

Computed properties:
**Uncorrected energy**: -63.76 eV/cell


A relaxed CaPmTlHg crystal. Source: Alexandria via LeMat-Bulk, functional PBE-GGA.

Geometry as CIF:
```
data_CaPmTlHg
_chemical_formula_sum 'Ca4 Pm4 Tl4 Hg4'
_cell_length_a 7.677
_cell_length_b 7.677
_cell_length_c 7.677
_cell_angle_alpha 90.00
_cell_angle_beta 90.00
_cell_angle_gamma 90.00
_space_group_name_H-M_alt 'F -4 3 m'
_space_group_IT_number 216
_space_group_name_Hall 'F -4 2 3'
loop_
_atom_site_label
_atom_site_fract_x
_atom_site_fract_y
_atom_site_fract_z
_atom_site_occupancy
Ca1 0.000 0.000 0.000 1
Pm1 0.000 0.000 0.500 1
Tl1 0.250 0.250 0.250 1
Hg1 0.250 0.250 0.750 1
```

Computed properties:
**Uncorrected energy**: -45.53 eV/cell


Question: The highest uncorrected energy belongs to which entry?
Answer: CaPmTlHg


Question: What is the uncorrected energy in the first record?
Answer: -63.76 eV/cell